Material: BaSr3Pd
Method: DFT, PBE-GGA
State: optimized geometry

Computed properties:
The calculated volume comes out at 46.6 A^3/atom. The energy above the most stable polymorph in this dataset comes out at 16 meV per atom. The density of states at the Fermi level is 4.4 states/eV/f.u.

abc: 6.153 6.153 6.153
angles: 90.00 90.00 90.00
Fractional coordinates of all 5 atoms:
Sr (0.000, 0.500, 0.000)
Sr (0.000, 0.000, 0.500)
Sr (0.500, 0.000, 0.000)
Ba (0.500, 0.500, 0.500)
Pd (0.000, 0.000, 0.000)

=====

Material: ScRuCl
Method: DFT, PBE-GGA
State: optimized geometry

Computed properties:
The uncorrected formation energy is 0.79 eV/f.u. The calculated volume comes out at 20.0 A^3/atom. The energy above the most stable polymorph in this dataset comes out at 797 meV per atom. The density of states at the Fermi level is 2.8 states/eV/f.u.

abc: 4.396 4.396 4.396
angles: 60.00 60.00 60.00
Last column: magnetic moment on the atom in μB.
Fractional coordinates of all 3 atoms:
Cl (0.000, 0.000, 0.000)  0.06
Ru (0.500, 0.500, 0.500)  0.90
Sc (0.750, 0.750, 0.750)  -0.09

=====

Material: DyBeOs
Method: DFT, PBE-GGA
State: optimized geometry

Computed properties:
The calculated volume comes out at 16.3 A^3/atom. The energy above the most stable polymorph in this dataset comes out at 0 meV per atom. The density of states at the Fermi level is 1.8 states/eV/f.u.

abc: 5.257 5.152 5.152
angles: 60.61 59.32 59.32
Fractional coordinates of all 6 atoms:
Dy (0.871, 0.379, 0.379)
Dy (0.129, 0.621, 0.621)
Be (0.000, 0.000, 0.000)
Be (0.500, 0.000, 0.000)
Os (0.500, 0.500, 0.000)
Os (0.500, 0.000, 0.500)

=====

Material: NaY3Sc2Te6
Method: DFT, PBE-GGA
State: optimized geometry

Computed properties:
The uncorrected formation energy is -14.89 eV/f.u. The calculated volume comes out at 28.4 A^3/atom. The density of states at the Fermi level is 5.6 states/eV/f.u.

abc: 4.305 8.661 9.644
angles: 102.90 102.90 90.00
Fractional coordinates of all 12 atoms:
Na (0.500, 0.000, 0.000)
Y (0.500, 0.500, 0.000)
Y (0.839, 0.175, 0.677)
Y (0.161, 0.825, 0.323)
Sc (0.832, 0.654, 0.664)
Sc (0.168, 0.346, 0.336)
Te (0.330, 0.905, 0.661)
Te (0.670, 0.578, 0.339)
Te (0.670, 0.095, 0.339)
Te (0.006, 0.252, 0.013)
Te (0.994, 0.748, 0.987)
Te (0.330, 0.422, 0.661)

=====

Material: CrReW2
Method: DFT, PBE-GGA
State: optimized geometry

Computed properties:
The calculated volume comes out at 14.9 A^3/atom. The energy above the most stable polymorph in this dataset comes out at 53 meV per atom. The density of states at the Fermi level is 4.6 states/eV/f.u.

abc: 4.384 4.384 4.384
angles: 60.00 60.00 60.00
Fractional coordinates of all 4 atoms:
Re (0.750, 0.750, 0.750)
W (0.000, 0.000, 0.000)
W (0.250, 0.250, 0.250)
Cr (0.500, 0.500, 0.500)

=====

Material: KHoCd17
Method: DFT, PBE-GGA
State: optimized geometry

Computed properties:
The calculated volume comes out at 23.9 A^3/atom. For the total energy, the calculation gives -1.1891 eV/atom. The density of states at the Fermi level is 7.4 states/eV/f.u.

abc: 7.754 7.754 7.754
angles: 82.29 82.29 82.29
Fractional coordinates of all 19 atoms:
K (0.663, 0.663, 0.663)
Ho (0.328, 0.328, 0.328)
Cd (0.296, 0.002, 0.700)
Cd (0.700, 0.296, 0.002)
Cd (0.002, 0.700, 0.296)
Cd (0.296, 0.700, 0.002)
Cd (0.002, 0.296, 0.700)
Cd (0.700, 0.002, 0.296)
Cd (0.348, 0.877, 0.348)
Cd (0.348, 0.348, 0.877)
Cd (0.877, 0.348, 0.348)
Cd (0.620, 0.201, 0.620)
Cd (0.620, 0.620, 0.201)
Cd (0.201, 0.620, 0.620)
Cd (0.980, 0.521, 0.980)
Cd (0.980, 0.980, 0.521)
Cd (0.521, 0.980, 0.980)
Cd (0.910, 0.910, 0.910)
Cd (0.108, 0.108, 0.108)

=====

Material: Li17Cu12
Method: DFT, PBE-GGA
State: optimized geometry

Computed properties:
The calculated volume comes out at 14.4 A^3/atom. For the total energy, the calculation gives -2.8329 eV/atom. The density of states at the Fermi level is 14.7 states/eV/f.u.

abc: 8.146 8.146 8.146
angles: 109.47 109.47 109.47
Fractional coordinates of all 29 atoms:
Cu (0.185, 0.816, 0.185)
Cu (0.369, 0.184, 0.369)
Cu (0.815, 0.000, 0.631)
Cu (0.631, 0.000, 0.815)
Cu (0.815, 0.631, 0.000)
Cu (0.631, 0.815, 0.000)
Cu (0.369, 0.369, 0.184)
Cu (0.185, 0.185, 0.816)
Cu (0.000, 0.631, 0.815)
Cu (0.000, 0.815, 0.631)
Cu (0.816, 0.185, 0.185)
Cu (0.184, 0.369, 0.369)
Li (0.688, 0.274, 0.688)
Li (0.415, 0.726, 0.415)
Li (0.312, 0.000, 0.585)
Li (0.585, 0.000, 0.312)
Li (0.312, 0.585, 0.000)
Li (0.585, 0.312, 0.000)
Li (0.415, 0.415, 0.726)
Li (0.688, 0.688, 0.274)
Li (0.000, 0.585, 0.312)
Li (0.000, 0.312, 0.585)
Li (0.274, 0.688, 0.688)
Li (0.726, 0.415, 0.415)
Li (0.000, 0.351, 0.000)
Li (0.649, 0.649, 0.649)
Li (0.000, 0.000, 0.351)
Li (0.351, 0.000, 0.000)
Li (0.000, 0.000, 0.000)

=====

Material: Ag2BiPd9
Method: DFT, PBE-GGA
State: optimized geometry

Computed properties:
The calculated volume comes out at 16.5 A^3/atom. For the total energy, the calculation gives -4.7805 eV/atom. The density of states at the Fermi level is 14.0 states/eV/f.u.

abc: 4.063 4.063 12.003
angles: 90.00 90.00 90.00
Fractional coordinates of all 12 atoms:
Ag (0.000, 0.000, 0.338)
Ag (0.000, 0.000, 0.662)
Bi (0.000, 0.000, 0.000)
Pd (0.500, 0.500, 0.000)
Pd (0.500, 0.500, 0.336)
Pd (0.500, 0.500, 0.664)
Pd (0.500, 0.000, 0.172)
Pd (0.500, 0.000, 0.500)
Pd (0.500, 0.000, 0.828)
Pd (0.000, 0.500, 0.172)
Pd (0.000, 0.500, 0.500)
Pd (0.000, 0.500, 0.828)

=====

Material: Li2Tm3RhPb3
Method: DFT, PBE-GGA
State: optimized geometry

Computed properties:
The calculated volume comes out at 23.4 A^3/atom. For the total energy, the calculation gives -4.4835 eV/atom. The density of states at the Fermi level is 2.4 states/eV/f.u.

abc: 3.504 8.337 8.337
angles: 120.00 90.00 90.00
Fractional coordinates of all 9 atoms:
Li (0.500, 0.667, 0.333)
Li (0.500, 0.333, 0.667)
Tm (0.500, 0.744, 0.000)
Tm (0.500, 0.000, 0.744)
Tm (0.500, 0.256, 0.256)
Rh (0.000, 0.000, 0.000)
Pb (0.000, 0.604, 0.604)
Pb (0.000, 0.000, 0.396)
Pb (0.000, 0.396, 0.000)

=====

Material: LiCdAsBr2
Method: DFT, PBE-GGA
State: optimized geometry

Computed properties:
The uncorrected formation energy is -0.86 eV/f.u. The calculated volume comes out at 34.7 A^3/atom. The energy above the most stable polymorph in this dataset comes out at 0 meV per atom. The density of states at the Fermi level is 0.7 states/eV/f.u.

abc: 5.762 5.762 5.232
angles: 90.00 90.00 90.00
Last column: magnetic moment on the atom in μB.
Fractional coordinates of all 5 atoms:
As (0.000, 0.000, 0.500)  0.77
Li (0.500, 0.500, 0.500)  0.00
Br (0.000, 0.500, 0.000)  0.09
Br (0.500, 0.000, 0.000)  0.09
Cd (0.000, 0.000, 0.000)  0.01

=====

Material: TbPaNiRu
Method: DFT, PBE-GGA
State: optimized geometry

Computed properties:
The calculated volume comes out at 20.6 A^3/atom. The energy above the most stable polymorph in this dataset comes out at 0 meV per atom. The density of states at the Fermi level is 3.5 states/eV/f.u.

abc: 3.683 3.951 5.959
angles: 90.00 108.00 90.00
Fractional coordinates of all 4 atoms:
Tb (0.144, 0.000, 0.287)
Pa (0.875, 0.500, 0.750)
Ni (0.577, 0.500, 0.154)
Ru (0.404, 0.000, 0.809)

=====

Material: SrLa4Mn
Method: DFT, PBE-GGA
State: optimized geometry

Computed properties:
The calculated volume comes out at 36.9 A^3/atom. For the total energy, the calculation gives -4.5855 eV/atom. The density of states at the Fermi level is 9.0 states/eV/f.u.

abc: 6.788 6.788 6.788
angles: 60.00 60.00 60.00
Last column: magnetic moment on the atom in μB.
Fractional coordinates of all 6 atoms:
Sr (0.000, 0.000, 0.000)  0.01
La (0.860, 0.380, 0.380)  0.08
La (0.380, 0.380, 0.860)  0.08
La (0.380, 0.860, 0.380)  0.08
La (0.380, 0.380, 0.380)  0.08
Mn (0.750, 0.750, 0.750)  -4.29

=====

Material: ZnSbTeN2
Method: DFT, PBE-GGA
State: optimized geometry

Computed properties:
The uncorrected formation energy is 7.43 eV/f.u. The calculated volume comes out at 20.0 A^3/atom. The energy above the most stable polymorph in this dataset comes out at 344 meV per atom. The density of states at the Fermi level is 2.0 states/eV/f.u.

abc: 4.207 4.207 5.665
angles: 90.00 90.00 90.00
Last column: magnetic moment on the atom in μB.
Fractional coordinates of all 5 atoms:
Sb (0.500, 0.500, 0.500)  -0.18
Zn (0.000, 0.000, 0.000)  0.03
Te (0.000, 0.000, 0.500)  0.12
N (0.000, 0.500, 0.000)  1.10
N (0.500, 0.000, 0.000)  1.10

=====

Material: NaCr2Os
Method: DFT, PBE-GGA
State: optimized geometry

Computed properties:
The calculated volume comes out at 14.2 A^3/atom. The energy above the most stable polymorph in this dataset comes out at 0 meV per atom. The density of states at the Fermi level is 1.6 states/eV/f.u.

abc: 4.316 4.316 4.316
angles: 60.00 60.00 60.00
Last column: magnetic moment on the atom in μB.
Fractional coordinates of all 4 atoms:
Cr (0.250, 0.250, 0.250)  1.81
Cr (0.750, 0.750, 0.750)  1.81
Os (0.500, 0.500, 0.500)  -0.70
Na (0.000, 0.000, 0.000)  0.01

=====

Material: CuSe4
Method: DFT, PBE-GGA
State: optimized geometry

Computed properties:
The uncorrected formation energy is 0.25 eV/f.u. The calculated volume comes out at 24.1 A^3/atom. The energy above the most stable polymorph in this dataset comes out at 0 meV per atom. The density of states at the Fermi level is 1.5 states/eV/f.u.

abc: 6.065 5.504 8.147
angles: 117.66 90.00 90.00
Fractional coordinates of all 10 atoms:
Cu (0.000, 0.000, 0.000)
Cu (0.500, 0.000, 0.500)
Se (0.206, 0.264, 0.294)
Se (0.706, 0.736, 0.206)
Se (0.794, 0.736, 0.706)
Se (0.294, 0.264, 0.794)
Se (0.841, 0.274, 0.589)
Se (0.341, 0.726, 0.911)
Se (0.159, 0.726, 0.411)
Se (0.659, 0.274, 0.089)

=====

Material: ZrMnSe2Br
Method: DFT, PBE-GGA
State: optimized geometry

Computed properties:
The uncorrected formation energy is -1.41 eV/f.u. The calculated volume comes out at 29.3 A^3/atom. The energy above the most stable polymorph in this dataset comes out at 0 meV per atom. The density of states at the Fermi level is 1.9 states/eV/f.u.

abc: 5.244 5.244 5.336
angles: 90.00 90.00 90.00
Last column: magnetic moment on the atom in μB.
Fractional coordinates of all 5 atoms:
Mn (0.500, 0.500, 0.500)  4.82
Se (0.000, 0.500, 0.000)  0.05
Se (0.500, 0.000, 0.000)  0.05
Br (0.000, 0.000, 0.500)  0.03
Zr (0.000, 0.000, 0.000)  0.08

=====

Material: ThUC
Method: DFT, PBE-GGA
State: optimized geometry

Computed properties:
The calculated volume comes out at 21.7 A^3/atom. The energy above the most stable polymorph in this dataset comes out at 0 meV per atom. The density of states at the Fermi level is 5.9 states/eV/f.u.

abc: 6.268 3.463 3.463
angles: 120.00 90.00 90.00
Last column: magnetic moment on the atom in μB.
Fractional coordinates of all 3 atoms:
C (0.317, 0.333, 0.667)  -0.04
U (0.107, 0.000, 0.000)  1.98
Th (0.576, 0.667, 0.333)  0.09

=====

Material: Ba2InRuN
Method: DFT, PBE-GGA
State: optimized geometry

Computed properties:
The uncorrected formation energy is 0.29 eV/f.u. The calculated volume comes out at 30.2 A^3/atom. The energy above the most stable polymorph in this dataset comes out at 334 meV per atom. The density of states at the Fermi level is 5.5 states/eV/f.u.

abc: 6.315 3.789 6.315
angles: 90.00 90.00 90.00
Fractional coordinates of all 5 atoms:
Ru (0.000, 0.000, 0.000)
N (0.000, 0.500, 0.000)
Ba (0.000, 0.000, 0.500)
Ba (0.500, 0.000, 0.000)
In (0.500, 0.500, 0.500)

=====

Material: CeAl3Rh
Method: DFT, PBE-GGA
State: optimized geometry

Computed properties:
The calculated volume comes out at 19.1 A^3/atom. The energy above the most stable polymorph in this dataset comes out at 0 meV per atom. The density of states at the Fermi level is 5.3 states/eV/f.u.

abc: 4.176 8.350 10.971
angles: 90.00 90.00 90.00
Last column: magnetic moment on the atom in μB.
Fractional coordinates of all 20 atoms:
Ce (0.750, 0.815, 0.011)  0.48
Ce (0.250, 0.685, 0.511)  0.48
Ce (0.750, 0.315, 0.489)  0.48
Ce (0.250, 0.185, 0.989)  0.48
Al (0.250, 0.555, 0.085)  0.00
Al (0.750, 0.445, 0.915)  0.00
Al (0.250, 0.055, 0.415)  0.00
Al (0.750, 0.945, 0.585)  0.00
Al (0.250, 0.392, 0.716)  0.00
Al (0.750, 0.108, 0.216)  0.00
Al (0.250, 0.892, 0.784)  0.00
Al (0.750, 0.647, 0.720)  0.00
Al (0.250, 0.353, 0.280)  0.00
Al (0.750, 0.147, 0.780)  0.00
Al (0.750, 0.608, 0.284)  0.00
Al (0.250, 0.853, 0.220)  0.00
Rh (0.250, 0.114, 0.643)  0.00
Rh (0.250, 0.614, 0.857)  0.00
Rh (0.750, 0.386, 0.143)  0.00
Rh (0.750, 0.886, 0.357)  0.00

=====

Material: NaMgOs2
Method: DFT, PBE-GGA
State: optimized geometry

Computed properties:
The calculated volume comes out at 18.3 A^3/atom. For the total energy, the calculation gives -5.0902 eV/atom. The density of states at the Fermi level is 3.6 states/eV/f.u.

abc: 7.744 7.744 5.994
angles: 49.76 49.76 90.00
Fractional coordinates of all 8 atoms:
Na (0.500, 0.500, 0.000)
Na (0.250, 0.750, 0.500)
Mg (0.000, 0.000, 0.000)
Mg (0.750, 0.250, 0.500)
Os (0.657, 0.125, 0.250)
Os (0.093, 0.625, 0.250)
Os (0.375, 0.343, 0.750)
Os (0.875, 0.907, 0.750)